Here is BaLa3Ru after structural relaxation from Alexandria. Energies are from PBE-GGA.

abc: 4.058 10.491 10.491
angles: 40.60 90.00 90.00
Positions (direct):
Ba 0.000 0.000 0.000
La 0.000 0.430 0.945
La 0.000 0.945 0.430
La 0.500 0.822 0.822
Ru 0.500 0.692 0.692

Results
excess energy over the best structure of this formula in the dataset: 12.79 kcal/mol of atoms



Here is Cu3Pt after structural relaxation from Alexandria. Energies are from PBE-GGA.

abc: 4.333 5.267 4.551
angles: 90.00 90.00 90.00
Positions (direct):
Cu 0.250 0.002 0.166
Cu 0.250 0.250 0.674
Cu 0.250 0.498 0.166
Cu 0.750 0.502 0.834
Cu 0.750 0.750 0.326
Cu 0.750 0.998 0.834
Pt 0.250 0.750 0.668
Pt 0.750 0.250 0.332



no.,calculated formation energy (eV/atom),total magnetization (μB per cell)
1,0.408,0.914
2,-0.127,0.000